BaNClF2: optimized geometry, PBE.

Output
- Space group: P4/mmm (123)
- Formation energy from raw total energies: -0.788 eV per atom

```
BaNClF2
1.0
4.978 0.000 0.000
0.000 4.978 0.000
0.000 0.000 6.376
F Cl N Ba
2 1 1 1
direct
0.000 0.500 0.000 F
0.500 0.000 0.000 F
0.500 0.500 0.500 Cl
0.000 0.000 0.500 N
0.000 0.000 0.000 Ba
```